Record 1
Al3Pd | the Open Quantum Materials Database | PBE-GGA | optimized geometry; E_tot = -17.85 eV/f.u.; symmetry = No. 139
1.0
-1.967 1.967 4.025
1.967 -1.967 4.025
1.967 1.967 -4.025
Al Pd
3 1
Direct
0.000 0.000 0.000
0.250 0.750 0.500
0.750 0.250 0.500
0.500 0.500 0.000

Record 2
CsPmS2 | the Open Quantum Materials Database | PBE-GGA | optimized geometry; E_tot = -21.13 eV/f.u.; symmetry = No. 166
1.0
2.107 1.216 8.080
-2.107 1.216 8.080
0.000 -2.433 8.080
Cs Pm S
1 1 2
Direct
0.000 0.000 0.000
0.500 0.500 0.500
0.229 0.229 0.229
0.771 0.771 0.771

Record 3
PrDyAl4Ir2 | the Open Quantum Materials Database | PBE-GGA | optimized geometry; E_tot = -38.99 eV/f.u.; symmetry = No. 38
1.0
7.283 0.000 0.000
0.000 2.951 5.388
0.000 -2.951 5.388
Pr Dy Al Ir
1 1 4 2
Direct
0.000 0.000 0.000
0.000 0.501 0.501
0.324 0.298 0.298
0.324 0.705 0.705
0.676 0.298 0.298
0.676 0.705 0.705
0.000 0.257 0.257
0.000 0.744 0.744

Record 4
Li4AlSiAg2 | the Open Quantum Materials Database | PBE-GGA | optimized geometry; E_tot = -24.48 eV/f.u.; symmetry = No. 115
1.0
4.383 0.000 0.000
0.000 4.383 0.000
0.000 0.000 6.209
Li Al Si Ag
4 1 1 2
Direct
0.000 0.000 0.000
0.000 0.500 0.238
0.500 0.000 0.762
0.500 0.500 0.500
0.000 0.000 0.500
0.500 0.500 0.000
0.000 0.500 0.756
0.500 0.000 0.244

Record 5
TlZnMo4C2 | the Open Quantum Materials Database | PBE-GGA | optimized geometry; E_tot = -64.66 eV/f.u.; symmetry = No. 187
1.0
3.106 0.000 0.000
-1.553 2.690 0.000
0.000 0.000 13.717
Tl Zn Mo C
1 1 4 2
Direct
0.000 0.000 0.000
0.333 0.667 0.500
0.000 0.000 0.345
0.000 0.000 0.655
0.333 0.667 0.179
0.333 0.667 0.821
0.667 0.333 0.262
0.667 0.333 0.738

Record 6
SiOsPt2 | the Open Quantum Materials Database | PBE-GGA | optimized geometry; E_tot = -28.26 eV/f.u.; symmetry = No. 216
1.0
0.000 3.095 3.095
3.095 0.000 3.095
3.095 3.095 0.000
Si Os Pt
1 1 2
Direct
0.000 0.000 0.000
0.250 0.250 0.250
0.500 0.500 0.500
0.750 0.750 0.750

Number 3 is which compound?
PrDyAl4Ir2

The lowest E_tot belongs to which entry?
TlZnMo4C2